Here is NdCuGe at its PBEsol-relaxed geometry from Alexandria. Energies are from SCAN.

Results
Calculated formation energy ... -0.728 eV/atom
Theoretical density ... 7.7 g/cm3
Calculated volume ... 60.5 Å³/f.u.

abc: 4.159 4.159 4.038
angles: 90.00 90.00 120.00
Sites, in units of the cell vectors:
Nd  0.000  0.000  0.000
Cu  0.667  0.333  0.500
Ge  0.333  0.667  0.500